Entry from the Alexandria database: a relaxed structure of LaTmAu (PBE).

a b c (Å): 6.926 6.926 6.926
angles (deg): 149.60 149.60 43.54
Fractional coordinates of all 3 atoms:
La1 0.000 0.000 0.000
Tm1 0.285 0.285 0.000
Au1 0.671 0.671 0.000

space group	I4mm (107)
offset from the most stable computed form	0.21	eV/f.u.